# SCAN CuSeCl, PBEsol geometry
data_CuSeCl
_symmetry_space_group_name_H-M 'P 1'
_symmetry_Int_Tables_number 1
_symmetry_space_group_name_Hall 'P 1'
_cell_length_a 3.349
_cell_length_b 3.349
_cell_length_c 5.986
_cell_angle_alpha 106.24
_cell_angle_beta 106.24
_cell_angle_gamma 90.00
loop_
_atom_site_label
_atom_site_type_symbol
_atom_site_fract_x
_atom_site_fract_y
_atom_site_fract_z
Cu1 Cu 0.788 0.788 0.576
Se1 Se 0.222 0.222 0.445
Cl1 Cl 0.990 0.990 0.979
# **DOS(E_F)**: 1.35 states/eV per cell
# **E_form (uncorrected)**: -0.038 eV/atom

=====

# SCAN CuSeCl, PBEsol geometry
data_CuSeCl
_symmetry_space_group_name_H-M 'P 1'
_symmetry_Int_Tables_number 1
_symmetry_space_group_name_Hall 'P 1'
_cell_length_a 2.942
_cell_length_b 2.942
_cell_length_c 6.846
_cell_angle_alpha 102.41
_cell_angle_beta 102.41
_cell_angle_gamma 90.00
loop_
_atom_site_label
_atom_site_type_symbol
_atom_site_fract_x
_atom_site_fract_y
_atom_site_fract_z
Cu1 Cu 0.660 0.660 0.321
Se1 Se 0.293 0.293 0.586
Cl1 Cl 0.046 0.046 0.093
# **DOS(E_F)**: 2.89 states/eV per cell
# **E_form (uncorrected)**: 0.107 eV/atom

=====

# SCAN Cu2SeCl, PBEsol geometry
data_Cu2SeCl
_symmetry_space_group_name_H-M 'P 1'
_symmetry_Int_Tables_number 1
_symmetry_space_group_name_Hall 'P 1'
_cell_length_a 4.446
_cell_length_b 4.446
_cell_length_c 4.446
_cell_angle_alpha 60.00
_cell_angle_beta 60.00
_cell_angle_gamma 60.00
loop_
_atom_site_label
_atom_site_type_symbol
_atom_site_fract_x
_atom_site_fract_y
_atom_site_fract_z
Cu1 Cu 0.250 0.250 0.250
Cu2 Cu 0.750 0.750 0.750
Se1 Se 0.500 0.500 0.500
Cl1 Cl 0.000 0.000 0.000
# **DOS(E_F)**: 4.95 states/eV per cell
# **E_form (uncorrected)**: 0.305 eV/atom

=====

# SCAN Cu2SeCl, PBEsol geometry
data_Cu2SeCl
_symmetry_space_group_name_H-M 'P 1'
_symmetry_Int_Tables_number 1
_symmetry_space_group_name_Hall 'P 1'
_cell_length_a 3.669
_cell_length_b 3.670
_cell_length_c 5.755
_cell_angle_alpha 90.00
_cell_angle_beta 90.01
_cell_angle_gamma 90.00
loop_
_atom_site_label
_atom_site_type_symbol
_atom_site_fract_x
_atom_site_fract_y
_atom_site_fract_z
Se1 Se 0.625 0.000 0.389
Cu1 Cu 0.125 0.000 0.130
Cu2 Cu 0.625 0.500 0.131
Cl1 Cl 0.125 0.500 0.850
# **DOS(E_F)**: 1.79 states/eV per cell
# **E_form (uncorrected)**: -0.291 eV/atom

=====

# SCAN CuTeSeCl, PBEsol geometry
data_CuTeSeCl
_symmetry_space_group_name_H-M 'P 1'
_symmetry_Int_Tables_number 1
_symmetry_space_group_name_Hall 'P 1'
_cell_length_a 4.784
_cell_length_b 7.904
_cell_length_c 10.666
_cell_angle_alpha 104.03
_cell_angle_beta 90.00
_cell_angle_gamma 90.00
loop_
_atom_site_label
_atom_site_type_symbol
_atom_site_fract_x
_atom_site_fract_y
_atom_site_fract_z
Cu1 Cu 0.866 0.931 0.751
Cu2 Cu 0.134 0.069 0.249
Cu3 Cu 0.366 0.569 0.749
Cu4 Cu 0.634 0.431 0.251
Te1 Te 0.502 0.137 0.865
Te2 Te 0.498 0.863 0.135
Te3 Te 0.002 0.363 0.635
Te4 Te 0.998 0.637 0.365
Se1 Se 0.705 0.430 0.851
Se2 Se 0.295 0.570 0.149
Se3 Se 0.205 0.070 0.649
Se4 Se 0.795 0.930 0.351
Cl1 Cl 0.641 0.700 0.619
Cl2 Cl 0.359 0.300 0.381
Cl3 Cl 0.141 0.800 0.881
Cl4 Cl 0.859 0.200 0.119
# **E_form (uncorrected)**: -0.348 eV/atom

=====

# SCAN Cu2SiCl, PBEsol geometry
data_Cu2SiCl
_symmetry_space_group_name_H-M 'P 1'
_symmetry_Int_Tables_number 1
_symmetry_space_group_name_Hall 'P 1'
_cell_length_a 3.037
_cell_length_b 3.037
_cell_length_c 6.714
_cell_angle_alpha 90.00
_cell_angle_beta 90.00
_cell_angle_gamma 90.00
loop_
_atom_site_label
_atom_site_type_symbol
_atom_site_fract_x
_atom_site_fract_y
_atom_site_fract_z
Cl1 Cl 0.500 0.500 0.830
Cu1 Cu 0.000 0.000 0.029
Cu2 Cu 0.500 0.500 0.231
Si1 Si 0.000 0.000 0.410
# **DOS(E_F)**: 1.75 states/eV per cell
# **E_form (uncorrected)**: 0.132 eV/atom